Record 1
UPt | PBE-GGA | relaxed Values from VASP.

```
&SYSTEM
  ibrav = 0, nat = 2, ntyp = 2
/
ATOMIC_SPECIES
U 238.03 U.upf
Pt 195.08 Pt.upf
CELL_PARAMETERS angstrom
2.950 0.000 0.000
-1.475 2.555 0.000
0.000 0.000 5.110
ATOMIC_POSITIONS crystal
U 0.333 0.667 0.250
Pt 0.667 0.333 0.750
```

Results
- DFT formation energy (eV per atom) = -0.207
- electronic total energy (eV/atom) = -8.883

***

Record 2
UPt | PBE-GGA | relaxed Values from VASP.

```
&SYSTEM
  ibrav = 0, nat = 4, ntyp = 2
/
ATOMIC_SPECIES
U 238.03 U.upf
Pt 195.08 Pt.upf
CELL_PARAMETERS angstrom
-3.998 0.000 0.000
0.000 0.000 -4.262
-1.999 -5.191 0.000
ATOMIC_POSITIONS crystal
U 0.870 0.250 0.259
U 0.130 0.750 0.741
Pt 0.398 0.750 0.203
Pt 0.602 0.250 0.797
```

Results
- DFT formation energy (eV per atom) = -0.539
- electronic total energy (eV/atom) = -9.215

***

Record 3
YUPt | PBE-GGA | relaxed Values from VASP.

```
&SYSTEM
  ibrav = 0, nat = 3, ntyp = 3
/
ATOMIC_SPECIES
U 238.03 U.upf
Pt 195.08 Pt.upf
Y 88.91 Y.upf
CELL_PARAMETERS angstrom
1.205 -4.335 -1.828
-3.216 -3.638 0.056
-2.008 -1.529 -4.149
ATOMIC_POSITIONS crystal
U 0.250 0.250 0.250
Pt 0.000 0.000 0.000
Y 0.750 0.750 0.750
```

Results
- DFT formation energy (eV per atom) = -0.200
- electronic total energy (eV/atom) = -8.140

***

Record 4
Pt5W | PBE-GGA | relaxed Values from VASP.

```
&SYSTEM
  ibrav = 0, nat = 6, ntyp = 2
/
ATOMIC_SPECIES
Pt 195.08 Pt.upf
W 183.84 W.upf
CELL_PARAMETERS angstrom
2.422 1.398 4.579
-2.422 1.398 4.579
0.000 -2.796 4.579
ATOMIC_POSITIONS crystal
Pt 0.667 0.667 0.667
Pt 0.333 0.333 0.333
Pt 0.500 0.168 0.832
Pt 0.168 0.832 0.500
Pt 0.832 0.500 0.168
W 0.000 0.000 0.000
```

Results
- DFT formation energy (eV per atom) = -0.163
- electronic total energy (eV/atom) = -7.370

***

Question: Which of these has the highest electronic total energy?
Answer: Pt5W

***

Question: electronic total energy of number 2 (UPt)?
Answer: -9.215 eV/atom

***

What did the second record say?
UPt | PBE-GGA | relaxed Values from VASP.

```
&SYSTEM
  ibrav = 0, nat = 4, ntyp = 2
/
ATOMIC_SPECIES
U 238.03 U.upf
Pt 195.08 Pt.upf
CELL_PARAMETERS angstrom
-3.998 0.000 0.000
0.000 0.000 -4.262
-1.999 -5.191 0.000
ATOMIC_POSITIONS crystal
U 0.870 0.250 0.259
U 0.130 0.750 0.741
Pt 0.398 0.750 0.203
Pt 0.602 0.250 0.797
```

Results
- DFT formation energy (eV per atom) = -0.539
- electronic total energy (eV/atom) = -9.215

***

Question: Which of these has the lowest DFT formation energy?
Answer: number 2